Density functional theory data (GGA-PBE) for a relaxed CeEr2Bi2 crystal.

Calculated values
final energy = -98.85 eV for the cell shown
ΔH_f (0 K) = -378 meV/atom

```
data_CeEr2Bi2
_symmetry_space_group_name_H-M 'C 1 2/c 1'
_symmetry_Int_Tables_number 15
_symmetry_space_group_name_Hall '-C 2yc'
_cell_length_a 10.540
_cell_length_b 12.367
_cell_length_c 6.123
_cell_angle_alpha 90.00
_cell_angle_beta 123.68
_cell_angle_gamma 90.00
loop_
_atom_site_label
_atom_site_type_symbol
_atom_site_fract_x
_atom_site_fract_y
_atom_site_fract_z
Ce1 Ce 0.000 0.096 0.250
Er1 Er 0.183 0.412 0.976
Bi1 Bi 0.000 0.186 0.750
Bi2 Bi 0.000 0.368 0.250
```